{
  "formula": "Li2PuIrO6",
  "functional": "GGA-PBE",
  "state": "optimized geometry",
  "formation_energy_uncorrected_mev_per_atom": -1715,
  "space_group": "No. 99",
  "cell": [[5.832, 0.000, 0.000], [0.000, 5.832, 0.000], [0.000, 0.000, 3.975]],
  "species": ["Li", "Li", "Pu", "Ir", "O", "O", "O", "O", "O", "O"],
  "frac_coords": [[0.000, 0.500, 0.000], [0.500, 0.000, 0.000], [0.000, 0.000, 0.926], [0.500, 0.500, 0.937], [0.000, 0.000, 0.429], [0.256, 0.256, 0.943], [0.256, 0.744, 0.943], [0.500, 0.500, 0.439], [0.744, 0.256, 0.943], [0.744, 0.744, 0.943]]
}

{
  "formula": "Zn8GaAu4",
  "functional": "GGA-PBE",
  "state": "optimized geometry",
  "space_group": "No. 25",
  "ef_kj_per_mol_atoms": -8.3,
  "cell": [[2.763, 0.000, 0.000], [0.000, 4.257, 0.000], [0.000, 0.000, 19.447]],
  "species": ["Zn", "Zn", "Zn", "Zn", "Zn", "Zn", "Zn", "Zn", "Ga", "Au", "Au", "Au", "Au"],
  "frac_coords": [[0.000, 0.000, 0.000], [0.000, 0.000, 0.254], [0.000, 0.500, 0.089], [0.000, 0.500, 0.818], [0.500, 0.000, 0.389], [0.500, 0.000, 0.857], [0.500, 0.500, 0.300], [0.500, 0.500, 0.555], [0.500, 0.500, 0.698], [0.000, 0.000, 0.627], [0.000, 0.500, 0.437], [0.500, 0.000, 0.133], [0.500, 0.500, 0.951]]
}

{
  "formula": "PrReI",
  "functional": "GGA-PBE",
  "state": "optimized geometry",
  "formation_energy_uncorrected_mev_per_atom": -404,
  "space_group": "No. 11",
  "cell": [[4.331, 0.000, 0.000], [0.000, 4.225, 0.000], [-2.161, 0.000, 10.286]],
  "species": ["Pr", "Pr", "Re", "Re", "I", "I"],
  "frac_coords": [[0.081, 0.250, 0.164], [0.919, 0.750, 0.836], [0.448, 0.250, 0.942], [0.552, 0.750, 0.058], [0.327, 0.250, 0.658], [0.673, 0.750, 0.342]]
}

Number 1: total energy -73.922 eV per cell. Number 2: total energy -27.450 eV per cell. Number 3: total energy -39.978 eV per cell.